First-principles (PBE) data for a geometry-optimized LiScPd2 structure, as listed in OQMD.

Total DFT energy (no corrections), hartree per atom: -0.1918
Crystal system: cubic
Density, g cm⁻³: 6.82

Unit cell a=6.3644 b=6.3644 c=6.3644 alpha=90.00 beta=90.00 gamma=90.00
Space group F-43m (No. 216)
Unique sites:
Li (0.0000, 0.0000, 0.0000)
Sc (0.2500, 0.2500, 0.2500)
Pd (0.0000, 0.0000, 0.5000)
Pd (0.2500, 0.2500, 0.7500)

First-principles (PBE) data for a geometry-optimized Re5W7 structure, as listed in OQMD.

Crystal system: hexagonal
Density, g cm⁻³: 18.96
Formation energy, meV/atom: 283

Unit cell a=5.1684 b=5.1684 c=16.7924 alpha=90.00 beta=90.00 gamma=120.00
Space group P6_3/mmc (No. 194)
Unique sites:
Re (0.1600, 0.3201, 0.2500)
Re (0.3333, 0.6667, 0.1290)
W (0.0000, 0.0000, 0.0927)
W (0.0000, 0.5000, 0.0000)
W (0.3333, 0.6667, 0.6608)

First-principles (PBE) data for a geometry-optimized GdTmMg6 structure, as listed in OQMD.

Total DFT energy (no corrections), hartree per atom: -0.0870
Crystal system: tetragonal
Density, g cm⁻³: 4.02

Unit cell a=5.1583 b=5.1583 c=7.3288 alpha=90.00 beta=90.00 gamma=90.00
Space group P4/mmm (No. 123)
Unique sites:
Gd (0.0000, 0.0000, 0.0000)
Tm (0.5000, 0.5000, 0.5000)
Mg (0.0000, 0.0000, 0.5000)
Mg (0.0000, 0.5000, 0.2532)
Mg (0.5000, 0.5000, 0.0000)

First-principles (PBE) data for a geometry-optimized In2Pt2O5 structure, as listed in OQMD.

Total DFT energy (no corrections), hartree per atom: -0.1876
Crystal system: tetragonal
Density, g cm⁻³: 9.80

Unit cell a=3.6620 b=3.6620 c=8.8417 alpha=90.00 beta=90.00 gamma=90.00
Space group P4/mmm (No. 123)
Unique sites:
In (0.0000, 0.0000, 0.2355)
Pt (0.5000, 0.5000, 0.0000)
Pt (0.5000, 0.5000, 0.5000)
O (0.0000, 0.0000, 0.0000)
O (0.0000, 0.5000, 0.3633)